(1)
The following is a PBE calculation of a relaxed MgTiPdRu crystal, from Alexandria.

The structure in extended XYZ format:
```
16
Lattice="6.235 0.000 0.000 0.000 6.235 0.000 0.000 0.000 6.235" Properties=species:S:1:pos:R:3 pbc="T T T"
Mg 0.000 0.000 0.000
Mg 0.000 3.117 3.117
Mg 3.117 0.000 3.117
Mg 3.117 3.117 0.000
Ti 0.000 0.000 3.117
Ti 0.000 3.117 0.000
Ti 3.117 0.000 0.000
Ti 3.117 3.117 3.117
Pd 1.559 1.559 1.559
Pd 1.559 4.676 4.676
Pd 4.676 1.559 4.676
Pd 4.676 4.676 1.559
Ru 1.559 1.559 4.676
Ru 1.559 4.676 1.559
Ru 4.676 1.559 1.559
Ru 4.676 4.676 4.676
```

Results
Total magnetic moment, Bohr magnetons per cell: 0.0
ΔH_f (0 K), eV per formula unit: -2.11
Density of states at the Fermi level, states/eV per cell: 4.12

(2)
The following is a PBE calculation of a relaxed TlNiAu2N crystal, from Alexandria.

The structure in extended XYZ format:
```
5
Lattice="5.344 0.000 0.000 0.000 5.344 0.000 0.000 0.000 5.002" Properties=species:S:1:pos:R:3 pbc="T T T"
Tl 0.000 0.000 0.000
Ni 0.000 0.000 2.501
Au 0.000 2.672 0.000
Au 2.672 0.000 0.000
N 2.672 2.672 2.501
```

Results
Total magnetic moment, Bohr magnetons per cell: 2.0
Formation energy from raw total energies, eV/atom: 1.96
Density of states at the Fermi level, states/eV per cell: 4.60